Density functional theory data (PBE+U) for a geometry-optimized Li2FeP2O8 structure.

a b c (Å): 4.8222 5.8957 10.2165
angles (deg): 90.20 90.66 91.67
With the nearest neighbours (Å) after each atom.
Atoms (fractional coordinates):
Li: 0.0000 0.0000 0.0000  6 O 2.07-2.18
Li: 0.0316 0.2425 0.7258  5 O 2.06-2.25
Li: 0.5000 0.5000 0.5000  6 O 2.18-2.30
Li: 0.9684 0.7575 0.2742  5 O 2.06-2.25
Fe: 0.4887 0.2513 0.2208  6 O 2.00-2.11
Fe: 0.5113 0.7487 0.7792  6 O 2.00-2.11
P: 0.0775 0.7454 0.6022  4 O 1.53-1.59
P: 0.4287 0.7512 0.0936  4 O 1.52-1.58
P: 0.5713 0.2488 0.9064  4 O 1.52-1.58
P: 0.9225 0.2546 0.3978  4 O 1.53-1.59
O: 0.1522 0.7484 0.4573  1 P 1.53
O: 0.2245 0.9445 0.6800  1 P 1.56
O: 0.2321 0.5412 0.6686  1 P 1.59
O: 0.2391 0.2672 0.3787  1 P 1.54
O: 0.2563 0.2296 0.9020  1 P 1.52
O: 0.2902 0.9586 0.1631  1 P 1.58
O: 0.3100 0.5367 0.1636  1 P 1.55
O: 0.3099 0.7546 0.9502  1 P 1.57
O: 0.6901 0.2454 0.0498  1 P 1.57
O: 0.6900 0.4633 0.8364  1 P 1.55
O: 0.7098 0.0414 0.8369  1 P 1.58
O: 0.7437 0.7704 0.0980  1 P 1.52
O: 0.7609 0.7328 0.6213  1 P 1.54
O: 0.7679 0.4588 0.3314  1 P 1.59
O: 0.7755 0.0555 0.3200  1 P 1.56
O: 0.8478 0.2516 0.5427  1 P 1.53

Output
VASP energy: -6.60 eV/atom
total moment: 8.09 μB per cell
crystal system: triclinic
excess energy over the best structure of this formula in the dataset: 0.029 eV per atom

Density functional theory data (PBE+U) for a geometry-optimized Li2FeP2O8 structure.

a b c (Å): 5.1268 8.0561 8.9140
angles (deg): 90.00 121.35 90.00
With the nearest neighbours (Å) after each atom.
Atoms (fractional coordinates):
Li: 0.0133 0.1367 0.1026  4 O 1.90-2.12
Li: 0.0133 0.3633 0.6026  4 O 1.90-2.12
Li: 0.9867 0.6367 0.3974  4 O 1.90-2.12
Li: 0.9867 0.8633 0.8974  4 O 1.90-2.12
Fe: 0.0000 0.0000 0.5000  6 O 1.99-2.09
Fe: 0.0000 0.5000 0.0000  6 O 1.99-2.09
P: 0.3307 0.6967 0.8005  4 O 1.53-1.56
P: 0.3307 0.8033 0.3005  4 O 1.53-1.56
P: 0.6693 0.1967 0.6995  4 O 1.53-1.56
P: 0.6693 0.3033 0.1995  4 O 1.53-1.56
O: 0.1933 0.6269 0.2378  1 P 1.56
O: 0.1933 0.8731 0.7378  1 P 1.56
O: 0.2053 0.5750 0.6468  1 P 1.53
O: 0.2053 0.9250 0.1468  1 P 1.53
O: 0.2427 0.6433 0.9358  1 P 1.55
O: 0.2427 0.8567 0.4358  1 P 1.55
O: 0.3151 0.1944 0.6087  1 P 1.56
O: 0.3151 0.3056 0.1087  1 P 1.56
O: 0.6849 0.6944 0.8913  1 P 1.56
O: 0.6849 0.8056 0.3913  1 P 1.56
O: 0.7573 0.1433 0.5642  1 P 1.55
O: 0.7573 0.3567 0.0642  1 P 1.55
O: 0.7947 0.0750 0.8532  1 P 1.53
O: 0.7947 0.4250 0.3532  1 P 1.53
O: 0.8067 0.1269 0.2622  1 P 1.56
O: 0.8067 0.3731 0.7622  1 P 1.56

Output
VASP energy: -6.63 eV/atom
total moment: 12.12 μB per cell
crystal system: monoclinic
excess energy over the best structure of this formula in the dataset: 0.000 eV per atom

Density functional theory data (PBE+U) for a geometry-optimized Li2FeP2O7 structure.

a b c (Å): 8.4046 5.1374 14.5844
angles (deg): 90.00 118.08 90.00
With the nearest neighbours (Å) after each atom.
Atoms (fractional coordinates):
Li: 0.0089 0.1877 0.0733  4 O 1.90-2.00
Li: 0.0089 0.3123 0.5733  4 O 1.90-2.00
Li: 0.4200 0.1805 0.2911  4 O 2.05-2.26
Li: 0.4200 0.3195 0.7911  4 O 2.05-2.26
Li: 0.5800 0.6805 0.2089  4 O 2.05-2.26
Li: 0.5800 0.8195 0.7089  4 O 2.05-2.26
Li: 0.9911 0.6877 0.4267  4 O 1.90-2.00
Li: 0.9911 0.8123 0.9267  4 O 1.90-2.00
Fe: 0.2717 0.1913 0.5019  4 O 2.01-2.13
Fe: 0.2717 0.3087 0.0019  4 O 2.01-2.13
Fe: 0.7283 0.6913 0.9981  4 O 2.01-2.13
Fe: 0.7283 0.8087 0.4981  4 O 2.01-2.13
P: 0.1866 0.7022 0.1554  4 O 1.52-1.62
P: 0.1866 0.7978 0.6554  4 O 1.52-1.62
P: 0.3013 0.6898 0.3772  4 O 1.53-1.63
P: 0.3013 0.8102 0.8772  4 O 1.53-1.63
P: 0.6987 0.1898 0.1228  4 O 1.53-1.63
P: 0.6987 0.3102 0.6228  4 O 1.53-1.63
P: 0.8134 0.2022 0.3446  4 O 1.52-1.62
P: 0.8134 0.2978 0.8446  4 O 1.52-1.62
O: 0.0038 0.6973 0.5672  1 P 1.56
O: 0.0038 0.8027 0.0672  1 P 1.56
O: 0.1525 0.7298 0.2558  2 P 1.62-1.63
O: 0.1525 0.7702 0.7558  2 P 1.62-1.63
O: 0.2110 0.6870 0.9369  1 P 1.54
O: 0.2110 0.8130 0.4369  1 P 1.54
O: 0.2166 0.0869 0.6408  1 P 1.54
O: 0.2166 0.4131 0.1408  1 P 1.54
O: 0.3293 0.1043 0.8937  1 P 1.53
O: 0.3293 0.3957 0.3937  1 P 1.53
O: 0.3443 0.6248 0.6719  1 P 1.52
O: 0.3443 0.8752 0.1719  1 P 1.52
O: 0.4675 0.6563 0.8911  1 P 1.53
O: 0.4675 0.8437 0.3911  1 P 1.53
O: 0.5325 0.1563 0.6089  1 P 1.53
O: 0.5325 0.3437 0.1089  1 P 1.53
O: 0.6557 0.1248 0.8281  1 P 1.52
O: 0.6557 0.3752 0.3281  1 P 1.52
O: 0.6707 0.6043 0.6063  1 P 1.53
O: 0.6707 0.8957 0.1063  1 P 1.53
O: 0.7834 0.5869 0.8592  1 P 1.54
O: 0.7834 0.9131 0.3592  1 P 1.54
O: 0.7890 0.1870 0.5631  1 P 1.54
O: 0.7890 0.3130 0.0631  1 P 1.54
O: 0.8475 0.2298 0.2442  2 P 1.62-1.63
O: 0.8475 0.2702 0.7442  2 P 1.62-1.63
O: 0.9962 0.1973 0.9328  1 P 1.56
O: 0.9962 0.3027 0.4328  1 P 1.56

Output
VASP energy: -6.77 eV/atom
total moment: 16.00 μB per cell
crystal system: monoclinic
excess energy over the best structure of this formula in the dataset: 0.013 eV per atom